! PBE+U Co2Te2F, relaxed; values from VASP
! Excess energy over the best structure of this formula in the dataset = 0.000 eV/atom
! DOS(E_F) = 1.95 states/eV/cell
&SYSTEM
  ibrav = 0, nat = 5, ntyp = 3
/
ATOMIC_SPECIES
Co 58.93 Co.upf
Te 127.60 Te.upf
F 19.00 F.upf
CELL_PARAMETERS angstrom
-1.465 -4.593 -2.611
5.210 -0.804 -1.507
2.380 -4.362 0.582
ATOMIC_POSITIONS crystal
Co 0.674 0.674 0.652
Te 0.250 0.750 0.500
Co 0.326 0.326 0.348
Te 0.750 0.250 0.500
F 0.000 0.000 0.000